# 1
First-principles (PBE) data for a relaxed CsCd4Sn12 crystal, as listed in Alexandria via LeMat-Bulk.

abc: 10.1428 10.1428 10.1428
angles: 90.00 90.00 90.00
Space group Im-3 (No. 204)
Asymmetric unit:
Cs 0.0000 0.0000 0.0000 (multiplicity 2)
Cd 0.2500 0.2500 0.2500 (multiplicity 8)
Sn 0.0000 0.3585 0.1523 (multiplicity 24)

Formation energy from the elements: 0.06 eV/atom
Energy: -3.03 eV per atom
Size of the total moment: 0.00 μB per formula unit

=====

# 2
First-principles (PBE) data for a relaxed BaFeGe2 crystal, as listed in Alexandria via LeMat-Bulk.

abc: 4.1634 4.1634 18.5083
angles: 90.00 90.00 120.00
Space group R-3m (No. 166, hexagonal axes)
Asymmetric unit:
Ba 0.0000 0.0000 0.0000 (multiplicity 3)
Fe 0.0000 0.0000 0.5000 (multiplicity 3)
Ge 0.0000 0.0000 0.2078 (multiplicity 6)

Formation energy from the elements: -0.24 eV/atom
Energy: -5.14 eV per atom
Size of the total moment: 2.03 μB per formula unit

=====

# 3
First-principles (PBE) data for a relaxed Li4Tl3Ga crystal, as listed in Alexandria via LeMat-Bulk.

abc: 7.0856 6.5089 7.6896
angles: 90.00 117.10 90.00
Space group C2/m (No. 12)
Asymmetric unit:
Li 0.1309 0.2492 0.2630 (multiplicity 8)
Tl 0.0000 0.5000 0.5000 (multiplicity 2)
Tl 0.2457 0.0000 0.9902 (multiplicity 4)
Ga 0.0000 0.0000 0.5000 (multiplicity 2)

Formation energy from the elements: -0.22 eV/atom
Energy: -2.44 eV per atom
Size of the total moment: 0.00 μB per formula unit

=====

# 4
First-principles (PBE) data for a relaxed TiPPd2 crystal, as listed in Alexandria via LeMat-Bulk.

abc: 3.7625 3.7625 17.8435
angles: 90.00 90.00 90.00
Space group I-42d (No. 122)
Asymmetric unit:
Ti 0.0000 0.0000 0.0000 (multiplicity 4)
P 0.0000 0.0000 0.5000 (multiplicity 4)
Pd 0.2423 0.2500 0.6250 (multiplicity 8)

Formation energy from the elements: -0.45 eV/atom
Energy: -6.37 eV per atom
Size of the total moment: 0.00 μB per formula unit